[1]
{
  "formula": "Tl2OsI",
  "functional": "PBE",
  "state": "relaxed",
  "relative_energy_mev_per_atom": 253,
  "sg": "Fm-3m (225)",
  "raw_formation_energy_kj_per_mol_atoms": 113.0,
  "total_energy_ev_per_cell": -12.83,
  "lattice_angstrom": [[0.0000, 3.8839, 3.8839], [3.8839, 0.0000, 3.8839], [3.8839, 3.8839, 0.0000]],
  "species": ["Tl", "Tl", "Os", "I"],
  "fractional_positions": [[0.2500, 0.2500, 0.2500], [0.7500, 0.7500, 0.7500], [0.0000, 0.0000, 0.0000], [0.5000, 0.5000, 0.5000]]
}



[2]
{
  "formula": "Y3Cd4Pd4",
  "functional": "PBE",
  "state": "relaxed",
  "ef_kcal_per_mol_atoms": -13.6,
  "sg": "Immm (71)",
  "total_energy_ev_per_cell": -50.32,
  "lattice_angstrom": [[-1.9740, 3.9976, 7.6618], [1.9740, -3.9976, 7.6618], [1.9740, 3.9976, -7.6618]],
  "species": ["Y", "Y", "Y", "Cd", "Cd", "Cd", "Cd", "Pd", "Pd", "Pd", "Pd"],
  "fractional_positions": [[0.0000, 0.0000, 0.0000], [0.3845, 0.8845, 0.5000], [0.6155, 0.1155, 0.5000], [0.0233, 0.3326, 0.6907], [0.3581, 0.6674, 0.6907], [0.6419, 0.3326, 0.3093], [0.9767, 0.6674, 0.3093], [0.2425, 0.2425, 0.0000], [0.3121, 0.5000, 0.8121], [0.6879, 0.5000, 0.1879], [0.7575, 0.7575, 0.0000]]
}